[1]
Li15Mg2Cd2: relaxed, PBE-GGA.

Unit cell a=9.2788 b=9.2788 c=14.8483 alpha=90.00 beta=90.00 gamma=120.00
Last column: nearest neighbours and their distance in Å.
Space group R-3m (No. 166, hexagonal axes)
Asymmetric unit:
1 Li 0.0000 0.2873 0.0000  6 Li 2.67-2.84
2 Li 0.0000 0.5000 0.5000  8 Li 2.80-2.84, 2 Cd 2.83
3 Li 0.0164 0.5082 0.1306  6 Li 2.76-2.80
4 Mg 0.0000 0.0000 0.3189  1 Cd 3.19, 15 Li 3.30-3.51
5 Cd 0.0000 0.0000 0.1043  12 Li 2.83-3.17, 1 Cd 3.10

Output
Formation enthalpy at 0 K   -0.011 eV per atom
Total moment   0.0000 μB/atom

[2]
KAg2Pd: relaxed, PBE-GGA.

Unit cell a=5.2936 b=5.2936 c=18.6057 alpha=90.00 beta=90.00 gamma=90.00
Last column: nearest neighbours and their distance in Å.
Space group I-42d (No. 122)
Asymmetric unit:
1 K 0.0000 0.0000 0.0000  8 Ag 3.68-3.85, 4 Pd 3.74
2 Ag 0.0238 0.2500 0.6250  2 Ag 2.66, 2 Pd 2.68
3 Pd 0.0000 0.0000 0.5000  4 Ag 2.68

Output
Energy above the most stable polymorph in this dataset   0.87 eV/f.u.
Formation enthalpy at 0 K   0.232 eV per atom
Total moment   0.0000 μB/atom

[3]
CaPuTh: relaxed, PBE-GGA.

Unit cell a=3.5500 b=3.5500 c=15.5384 alpha=90.00 beta=90.00 gamma=90.00
Last column: nearest neighbours and their distance in Å.
Space group I4mm (No. 107)
Asymmetric unit:
1 Ca 0.0000 0.0000 0.0000  4 Ca 3.55, 4 Pu 3.69, 4 Th 3.79
2 Pu 0.0000 0.0000 0.6741  4 Th 3.35, 4 Pu 3.55, 4 Ca 3.69
3 Th 0.0000 0.0000 0.3172  4 Pu 3.35, 4 Th 3.55

Output
Energy above the most stable polymorph in this dataset   0.29 eV/f.u.
Formation enthalpy at 0 K   0.225 eV per atom
Total moment   1.9855 μB/atom

[4]
AcLaPrAl: relaxed, PBE-GGA.

Unit cell a=8.0474 b=8.0474 c=8.0474 alpha=90.00 beta=90.00 gamma=90.00
Last column: nearest neighbours and their distance in Å.
Space group F-43m (No. 216)
Asymmetric unit:
1 Ac 0.0000 0.0000 0.0000  4 La 3.48, 4 Pr 3.48
2 La 0.2500 0.2500 0.2500  4 Ac 3.48, 4 Al 3.48
3 Pr 0.2500 0.2500 0.7500  4 Ac 3.48, 4 Al 3.48
4 Al 0.0000 0.0000 0.5000  4 La 3.48, 4 Pr 3.48

Output
Formation enthalpy at 0 K   0.027 eV per atom
Total moment   0.0003 μB/atom

[5]
DyEr4Tl5: relaxed, PBE-GGA.

Unit cell a=3.7297 b=3.7297 c=19.3234 alpha=90.00 beta=90.00 gamma=90.00
Last column: nearest neighbours and their distance in Å.
Space group P4/mmm (No. 123)
Asymmetric unit:
1 Dy 0.0000 0.0000 0.0000  8 Tl 3.29
2 Er 0.0000 0.0000 0.2013  8 Tl 3.27
3 Er 0.0000 0.0000 0.4004  8 Tl 3.26
4 Tl 0.5000 0.5000 0.1017  4 Er 3.27, 4 Dy 3.29
5 Tl 0.5000 0.5000 0.3009  8 Er 3.26-3.27
6 Tl 0.5000 0.5000 0.5000  8 Er 3.26

Output
Formation enthalpy at 0 K   -0.318 eV per atom
Total moment   0.0000 μB/atom

[6]
PmAlPd: relaxed, PBE-GGA.

Unit cell a=6.6148 b=6.6148 c=6.6148 alpha=90.00 beta=90.00 gamma=90.00
Last column: nearest neighbours and their distance in Å.
Space group F-43m (No. 216)
Asymmetric unit:
1 Pm 0.0000 0.0000 0.0000  4 Pd 2.86
2 Al 0.0000 0.0000 0.5000  4 Pd 2.86
3 Pd 0.2500 0.2500 0.2500  4 Pm 2.86, 4 Al 2.86

Output
Energy above the most stable polymorph in this dataset   0.84 eV/f.u.
Formation enthalpy at 0 K   -0.546 eV per atom
Total moment   0.0001 μB/atom

[7]
Rb2PPdSe4: relaxed, PBE-GGA.

Unit cell a=6.6949 b=13.4252 c=23.1941 alpha=90.00 beta=90.00 gamma=90.00
Last column: nearest neighbours and their distance in Å.
Space group Fddd (No. 70, origin choice 2)
Asymmetric unit:
1 Rb 0.1250 0.1250 0.3000  6 Se 3.54-3.75
2 P 0.1250 0.1250 0.6250  4 Se 2.24
3 Pd 0.1250 0.1250 0.1250  4 Se 2.60
4 Se 0.0867 0.2772 0.8260  1 P 2.24

Output
ΔE_f (raw)   -4.2 eV/f.u.
Total moment   0.0001 μB/atom

[8]
CaAc5Rh4: relaxed, PBE-GGA.

Unit cell a=8.3565 b=10.3020 c=7.4199 alpha=90.00 beta=90.00 gamma=90.00
Last column: nearest neighbours and their distance in Å.
Space group Pmmn (No. 59, origin choice 2)
Asymmetric unit:
1 Ca 0.2500 0.2500 0.1186  4 Rh 2.93-2.96
2 Ac 0.0115 0.5605 0.2609  3 Rh 2.91-2.95
3 Ac 0.2500 0.7500 0.7408  4 Rh 2.95-3.10
4 Rh 0.0753 0.2500 0.4613  1 Rh 2.92, 3 Ac 2.93-3.10, 1 Ca 2.93
5 Rh 0.2500 0.5181 0.9744  5 Ac 2.91-2.95, 1 Ca 2.96

Output
Energy above the most stable polymorph in this dataset   0.80 eV/f.u.
Formation enthalpy at 0 K   -0.439 eV per atom
Total moment   0.0000 μB/atom

[9]
PuHgPO6: relaxed, PBE-GGA.

Unit cell a=5.2780 b=5.2780 c=4.8463 alpha=90.00 beta=90.00 gamma=120.00
Last column: nearest neighbours and their distance in Å.
Space group P312 (No. 149)
Asymmetric unit:
1 Pu 0.0000 0.0000 0.0000  6 O 2.15
2 Hg 0.6667 0.3333 0.5000  6 O 2.45
3 P 0.3333 0.6667 0.0000  6 O 1.74
4 O 0.0691 0.3902 0.2042  1 P 1.74

Output
ΔE_f (raw)   -15.2 eV/f.u.
Total moment   0.3334 μB/atom

[10]
Ba2NaAg3Bi4: relaxed, PBE-GGA.

Unit cell a=4.9427 b=4.9427 c=12.7719 alpha=90.00 beta=90.00 gamma=90.00
Last column: nearest neighbours and their distance in Å.
Space group P-4m2 (No. 115)
Asymmetric unit:
1 Ba 0.0000 0.5000 0.2500  8 Bi 3.76-4.04, 6 Ag 3.78-4.04, 2 Na 4.04
2 Na 0.0000 0.0000 0.5000  4 Bi 3.06
3 Ag 0.0000 0.5000 0.8633  5 Bi 2.83-3.03
4 Ag 0.5000 0.5000 0.5000  4 Bi 3.06
5 Bi 0.0000 0.0000 0.0000  4 Ag 3.03
6 Bi 0.0000 0.5000 0.6415  3 Ag 2.83-3.06, 2 Na 3.06
7 Bi 0.5000 0.5000 0.0000  4 Ag 3.03

Output
Formation enthalpy at 0 K   -0.442 eV per atom
Total moment   0.0000 μB/atom

[11]
KScFe: relaxed, PBE-GGA.

Unit cell a=5.2014 b=5.2014 c=3.0100 alpha=90.00 beta=90.00 gamma=120.00
Last column: nearest neighbours and their distance in Å.
Space group P3m1 (No. 156)
Asymmetric unit:
1 K 0.0000 0.0000 0.0000  3 Fe 3.00, 2 K 3.01, 3 Sc 3.34
2 Sc 0.6667 0.3333 0.4864  2 Sc 3.01, 3 K 3.34, 6 Fe 3.35-3.37
3 Fe 0.3333 0.6667 0.9778  3 K 3.00, 2 Fe 3.01, 3 Sc 3.35

Output
Energy above the most stable polymorph in this dataset   1.40 eV/f.u.
Formation enthalpy at 0 K   1.063 eV per atom
Total moment   0.3494 μB/atom

[12]
HgIr2Cl: relaxed, PBE-GGA.

Unit cell a=2.8443 b=5.2099 c=9.0647 alpha=90.00 beta=90.00 gamma=90.00
Last column: nearest neighbours and their distance in Å.
Space group Cmmm (No. 65)
Asymmetric unit:
1 Hg 0.0000 0.0000 0.0000  4 Ir 2.81, 6 Hg 2.84-2.97
2 Ir 0.0000 0.5000 0.2668  2 Cl 2.55, 2 Hg 2.81, 2 Ir 2.84
3 Cl 0.0000 0.0000 0.5000  4 Ir 2.55, 2 Cl 2.84

Output
Energy above the most stable polymorph in this dataset   1.68 eV/f.u.
ΔE_f (raw)   2.9 eV/f.u.
Total moment   0.0000 μB/atom

[13]
PmEu2: relaxed, PBE-GGA.

Unit cell a=3.7728 b=3.7728 c=16.2721 alpha=90.00 beta=90.00 gamma=90.00
Last column: nearest neighbours and their distance in Å.
Space group I4/mmm (No. 139)
Asymmetric unit:
1 Pm 0.0000 0.0000 0.0000  8 Eu 3.76, 4 Pm 3.77
2 Eu 0.0000 0.0000 0.3369  4 Pm 3.76, 8 Eu 3.77-3.89

Output
Energy above the most stable polymorph in this dataset   0.00 eV/f.u.
Formation enthalpy at 0 K   0.063 eV per atom
Total moment   4.9452 μB/atom

[14]
TlC3: relaxed, PBE-GGA.

Unit cell a=6.1818 b=9.5777 c=6.5816 alpha=90.00 beta=90.00 gamma=90.00
Last column: nearest neighbours and their distance in Å.
Space group Cmcm (No. 63)
Asymmetric unit:
1 Tl 0.0000 0.2203 0.2500  3 C 2.49-2.62
2 C 0.0000 0.0402 0.7500  2 C 1.40
3 C 0.1137 0.1661 0.7500  2 C 1.40-1.41

Output
Energy above the most stable polymorph in this dataset   3.94 eV/f.u.
Formation enthalpy at 0 K   1.766 eV per atom
Total moment   0.0000 μB/atom

[15]
InSiHg2: relaxed, PBE-GGA.

Unit cell a=5.6418 b=5.6418 c=2.9552 alpha=90.00 beta=90.00 gamma=90.00
Last column: nearest neighbours and their distance in Å.
Space group P4/mmm (No. 123)
Asymmetric unit:
1 In 0.0000 0.0000 0.0000  2 In 2.96, 8 Hg 3.18
2 Si 0.5000 0.5000 0.0000  2 Si 2.96, 8 Hg 3.18
3 Hg 0.0000 0.5000 0.5000  2 Hg 2.96, 4 In 3.18, 4 Si 3.18

Output
ΔE_f (raw)   1.5 eV/f.u.
Total moment   0.0000 μB/atom

[16]
PrSm2PbN: relaxed, PBE-GGA.

Unit cell a=4.9627 b=4.9627 c=5.0869 alpha=90.00 beta=90.00 gamma=90.00
Last column: nearest neighbours and their distance in Å.
Space group P4/mmm (No. 123)
Asymmetric unit:
1 Pr 0.0000 0.0000 0.0000  2 N 2.54
2 Sm 0.0000 0.5000 0.5000  2 N 2.48
3 Pb 0.5000 0.5000 0.0000  4 Pr 3.51, 8 Sm 3.55
4 N 0.0000 0.0000 0.5000  4 Sm 2.48, 2 Pr 2.54

Output
ΔE_f (raw)   -4.5 eV/f.u.
Total moment   0.0000 μB/atom

[17]
Rb3Tb2ErSe6: relaxed, PBE-GGA.

Unit cell a=7.3486 b=12.7294 c=8.3630 alpha=90.00 beta=107.03 gamma=90.00
Last column: nearest neighbours and their distance in Å.
Space group C2/m (No. 12)
Asymmetric unit:
1 Rb 0.0000 0.0000 0.0000  6 Se 3.45-3.47
2 Rb 0.0000 0.3325 0.0000  6 Se 3.45-3.46
3 Tb 0.0000 0.1666 0.5000  6 Se 2.91-2.92
4 Er 0.0000 0.5000 0.5000  6 Se 2.89
5 Se 0.2303 0.3348 0.6953  1 Er 2.89, 2 Tb 2.91-2.92
6 Se 0.2349 0.0000 0.6956  1 Er 2.89, 2 Tb 2.92

Output
ΔE_f (raw)   -20.9 eV/f.u.
Total moment   0.0000 μB/atom

[18]
Sr3Cu4Pd4: relaxed, PBE-GGA.

Unit cell a=7.8151 b=7.8151 c=7.8151 alpha=90.00 beta=90.00 gamma=90.00
Last column: nearest neighbours and their distance in Å.
Space group I-43m (No. 217)
Asymmetric unit:
1 Sr 0.0000 0.0000 0.5000  4 Cu 3.21, 4 Pd 3.24
2 Cu 0.1921 0.1921 0.1921  4 Pd 2.45-2.60
3 Pd 0.1270 0.1270 0.8730  4 Cu 2.45-2.60

Output
Formation enthalpy at 0 K   -0.290 eV per atom
Total moment   0.0000 μB/atom

[19]
VSiBiRh2: relaxed, PBE-GGA.

Unit cell a=4.9320 b=4.9320 c=5.1487 alpha=90.00 beta=90.00 gamma=90.00
Last column: nearest neighbours and their distance in Å.
Space group P4/mmm (No. 123)
Asymmetric unit:
1 V 0.0000 0.0000 0.0000  4 Si 3.49, 8 Rh 3.56
2 Si 0.5000 0.5000 0.0000  2 Bi 2.57
3 Bi 0.5000 0.5000 0.5000  4 Rh 2.47, 2 Si 2.57
4 Rh 0.0000 0.5000 0.5000  2 Bi 2.47

Output
ΔE_f (raw)   9.0 eV/f.u.
Total moment   0.0203 μB/atom

[20]
Li3Ho5Se8: relaxed, PBE-GGA.

Unit cell a=8.0523 b=8.0523 c=19.6705 alpha=90.00 beta=90.00 gamma=120.00
Last column: nearest neighbours and their distance in Å.
Space group R-3m (No. 166, hexagonal axes)
Asymmetric unit:
1 Li 0.0000 0.5000 0.0000  6 Se 2.81-2.83
2 Ho 0.0000 0.0000 0.0000  6 Se 2.84
3 Ho 0.0000 0.0000 0.5000  6 Se 2.84
4 Ho 0.0000 0.5000 0.5000  6 Se 2.86-2.88
5 Se 0.0000 0.0000 0.2512  3 Li 2.83, 3 Ho 2.86
6 Se 0.0043 0.5021 0.2522  2 Li 2.81, 4 Ho 2.84-2.88

Output
ΔE_f (raw)   -27.5 eV/f.u.
Total moment   0.0000 μB/atom

[21]
CaGa3Os: relaxed, PBE-GGA.

Unit cell a=4.8095 b=4.8095 c=4.8095 alpha=90.00 beta=90.00 gamma=90.00
Last column: nearest neighbours and their distance in Å.
Space group Pm-3m (No. 221)
Asymmetric unit:
1 Ca 0.0000 0.0000 0.0000  12 Ga 3.40
2 Ga 0.0000 0.5000 0.5000  2 Os 2.40
3 Os 0.5000 0.5000 0.5000  6 Ga 2.40

Output
Energy above the most stable polymorph in this dataset   0.00 eV/f.u.
Formation enthalpy at 0 K   -0.203 eV per atom
Total moment   0.0000 μB/atom

[22]
La3NdEr2Tm6: relaxed, PBE-GGA.

Unit cell a=6.1970 b=10.7307 c=11.7517 alpha=90.00 beta=100.11 gamma=90.00
Last column: nearest neighbours and their distance in Å.
Space group C2/m (No. 12)
Asymmetric unit:
1 La 0.0000 0.0000 0.0000  6 La 3.58, 6 Tm 3.60
2 La 0.0000 0.3335 0.0000  6 La 3.57-3.58, 6 Tm 3.60
3 Nd 0.0000 0.5000 0.5000  6 Tm 3.51, 6 Er 3.57-3.58
4 Er 0.0000 0.1669 0.5000  6 Tm 3.51, 3 Nd 3.57-3.58, 3 Er 3.58
5 Tm 0.2479 0.0000 0.7454  2 Er 3.51, 1 Nd 3.51, 6 Tm 3.57-3.59, 3 La 3.60
6 Tm 0.2489 0.3330 0.7453  2 Er 3.51, 1 Nd 3.51, 6 Tm 3.57-3.59, 3 La 3.60

Output
Formation enthalpy at 0 K   0.025 eV per atom
Total moment   0.0000 μB/atom

[23]
DyMg2Sc3: relaxed, PBE-GGA.

Unit cell a=3.4657 b=3.4657 c=12.4318 alpha=90.00 beta=90.00 gamma=90.00
Last column: nearest neighbours and their distance in Å.
Space group P4/mmm (No. 123)
Asymmetric unit:
1 Dy 0.0000 0.0000 0.0000  8 Sc 3.39, 4 Dy 3.47
2 Mg 0.0000 0.0000 0.3457  8 Sc 3.11-3.14, 4 Mg 3.47
3 Sc 0.5000 0.5000 0.1884  4 Mg 3.14, 4 Dy 3.39, 4 Sc 3.47
4 Sc 0.5000 0.5000 0.5000  8 Mg 3.11, 4 Sc 3.47

Output
Formation enthalpy at 0 K   -0.008 eV per atom
Total moment   0.0001 μB/atom